# 1
The following is a DFT calculation (GGA-PBEsol) of crystalline Ir2Pt at its relaxed geometry.

Geometry as POSCAR:
```
Ir2Pt
1.0
5.455 0.000 0.000
0.000 3.861 0.000
0.000 0.000 8.180
Ir Pt
8 4
Cartesian
0.670 0.965 0.674
0.676 0.965 6.172
2.051 2.896 2.082
2.058 2.896 4.764
3.397 0.965 3.416
3.404 0.965 6.098
4.779 2.896 2.008
4.786 2.896 7.506
0.683 0.965 3.390
2.044 2.896 7.480
3.411 0.965 0.700
4.772 2.896 4.790
```

Results
**DOS at the Fermi energy**: 15.03 states/eV per cell
**E above lowest polymorph**: 0.041 eV per atom
**Volume**: 43.1 Å³/f.u.
**ΔH_f (0 K)**: 0.0839 eV per atom
**Symmetry**: Pnma

=====

# 2
The following is a DFT calculation (GGA-PBEsol) of crystalline Ir3Pt at its relaxed geometry.

Geometry as POSCAR:
```
Ir3Pt
1.0
4.718 0.000 0.000
0.000 8.917 0.000
0.000 0.000 5.445
Ir Pt
12 4
Cartesian
0.374 2.229 0.710
1.160 4.474 4.766
1.160 8.901 4.766
1.199 0.016 2.044
1.199 4.442 2.044
1.986 6.688 3.432
2.733 2.229 2.012
3.519 4.474 3.401
3.519 8.901 3.401
3.558 0.016 0.678
3.558 4.442 0.678
4.345 6.688 4.735
0.408 2.229 3.398
1.951 6.688 0.675
2.767 2.229 4.769
4.310 6.688 2.047
```

Results
**DOS at the Fermi energy**: 20.45 states/eV per cell
**Volume**: 57.3 Å³/f.u.
**ΔH_f (0 K)**: 0.0988 eV per atom
**Symmetry**: Pnma

=====

# 3
The following is a DFT calculation (GGA-PBEsol) of crystalline Ir2Pt at its relaxed geometry.

Geometry as POSCAR:
```
Ir2Pt
1.0
1.922 -5.811 0.000
1.922 5.811 0.000
0.000 0.000 3.855
Ir Pt
4 2
Cartesian
1.922 4.801 2.891
1.922 2.894 0.964
1.922 -2.894 2.891
1.922 -4.801 0.964
1.922 0.980 2.891
1.922 -0.980 0.964
```

Results
**DOS at the Fermi energy**: 6.59 states/eV per cell
**E above lowest polymorph**: 0.027 eV per atom
**Volume**: 43.1 Å³/f.u.
**ΔH_f (0 K)**: 0.0702 eV per atom
**Symmetry**: Cmcm

=====

# 4
The following is a DFT calculation (GGA-PBEsol) of crystalline IrPt8 at its relaxed geometry.

Geometry as POSCAR:
```
IrPt8
1.0
-4.144 4.144 1.950
4.144 -4.144 1.950
4.144 4.144 -1.950
Ir Pt
1 8
Cartesian
0.000 0.000 0.000
2.750 0.000 0.000
5.538 0.000 0.000
0.000 2.750 0.000
2.775 2.775 0.000
1.369 -1.369 1.950
-1.369 1.369 1.950
1.369 1.369 1.950
0.000 5.538 0.000
```

Results
**DOS at the Fermi energy**: 17.06 states/eV per cell
**Volume**: 134.0 Å³/f.u.
**ΔH_f (0 K)**: 0.0362 eV per atom
**Symmetry**: I4/mmm

=====

# 5
The following is a DFT calculation (GGA-PBEsol) of crystalline Ir3Pt at its relaxed geometry.

Geometry as POSCAR:
```
Ir3Pt
1.0
2.719 0.000 0.000
0.000 2.719 0.000
0.000 0.000 7.736
Ir Pt
3 1
Cartesian
0.000 0.000 0.000
1.360 1.360 1.872
1.360 1.360 5.864
0.000 0.000 3.868
```

Results
**DOS at the Fermi energy**: 4.15 states/eV per cell
**Volume**: 57.2 Å³/f.u.
**ΔH_f (0 K)**: 0.0397 eV per atom
**Symmetry**: P4/mmm

=====

# 6
The following is a DFT calculation (GGA-PBEsol) of crystalline Ir2Pt at its relaxed geometry.

Geometry as POSCAR:
```
Ir2Pt
1.0
4.378 0.000 0.000
-2.189 3.792 0.000
0.000 0.000 2.674
Ir Pt
2 1
Cartesian
0.000 2.528 0.692
2.189 1.264 1.982
0.000 0.000 1.337
```

Results
**DOS at the Fermi energy**: 3.99 states/eV per cell
**E above lowest polymorph**: 0.369 eV per atom
**Volume**: 44.4 Å³/f.u.
**ΔH_f (0 K)**: 0.4126 eV per atom
**Symmetry**: P-3m1